(1)
A plane-wave DFT calculation with PBE was carried out for a relaxed structure of Pm3In.

Output
- E (eV/atom) = -4.5255

a b c (Å): 4.950 4.950 4.950
angles (deg): 90.00 90.00 90.00
Positions (direct):
Pm  0.000  0.500  0.500
Pm  0.500  0.000  0.500
Pm  0.500  0.500  0.000
In  0.000  0.000  0.000

(2)
A plane-wave DFT calculation with PBE was carried out for a relaxed structure of HfFeSnW.

Output
- distance to the lowest polymorph of the same formula (eV per atom) = 0.000

a b c (Å): 4.591 4.591 4.591
angles (deg): 60.00 60.00 60.00
Positions (direct):
W  0.250  0.250  0.250
Sn  0.000  0.000  0.000
Fe  0.750  0.750  0.750
Hf  0.500  0.500  0.500

(3)
A plane-wave DFT calculation with PBE was carried out for a relaxed structure of AgPdPt2O6.

Output
- E (eV/atom) = -5.4153

a b c (Å): 6.291 6.291 3.153
angles (deg): 90.00 90.00 109.77
Positions (direct):
O  0.162  0.838  0.500
O  0.838  0.162  0.500
O  0.575  0.835  0.000
O  0.165  0.425  0.000
O  0.835  0.575  0.000
O  0.425  0.165  0.000
Pt  0.500  0.000  0.500
Pt  0.000  0.500  0.500
Ag  0.000  0.000  0.000
Pd  0.500  0.500  0.000

(4)
A plane-wave DFT calculation with PBE was carried out for a relaxed structure of HfFeBiPt.

Output
- distance to the lowest polymorph of the same formula (eV per atom) = 0.000

a b c (Å): 4.680 4.680 4.680
angles (deg): 60.00 60.00 60.00
Positions (direct):
Bi  0.000  0.000  0.000
Pt  0.250  0.250  0.250
Hf  0.500  0.500  0.500
Fe  0.750  0.750  0.750

(5)
A plane-wave DFT calculation with PBE was carried out for a relaxed structure of Li4GePd2Pb.

Output
- E (eV/atom) = -3.7852

a b c (Å): 4.399 4.399 6.404
angles (deg): 90.00 90.00 90.00
Positions (direct):
Ge  0.000  0.000  0.000
Pb  0.500  0.500  0.500
Pd  0.000  0.500  0.219
Pd  0.500  0.000  0.781
Li  0.000  0.000  0.500
Li  0.500  0.500  0.000
Li  0.500  0.000  0.226
Li  0.000  0.500  0.774

(6)
A plane-wave DFT calculation with PBE was carried out for a relaxed structure of BeCoTcPb.

Output
- distance to the lowest polymorph of the same formula (eV per atom) = 0.000

a b c (Å): 4.342 4.342 4.342
angles (deg): 60.00 60.00 60.00
Site moments in Bohr magnetons follow the coordinates.
Positions (direct):
Be  0.500  0.500  0.500  -0.01
Co  0.750  0.750  0.750  0.49
Pb  0.000  0.000  0.000  -0.01
Tc  0.250  0.250  0.250  0.14

(7)
A plane-wave DFT calculation with PBE was carried out for a relaxed structure of YCoGeAu.

Output
- distance to the lowest polymorph of the same formula (eV per atom) = 0.000

a b c (Å): 4.708 4.708 4.708
angles (deg): 60.00 60.00 60.00
Positions (direct):
Au  0.500  0.500  0.500
Y  0.250  0.250  0.250
Co  0.750  0.750  0.750
Ge  0.000  0.000  0.000

(8)
A plane-wave DFT calculation with PBE was carried out for a relaxed structure of TmPu2Ni9.

Output
- energy of formation (eV per formula unit) = -1.38

a b c (Å): 8.567 8.567 8.567
angles (deg): 32.32 32.32 32.32
Positions (direct):
Ni  0.582  0.582  0.084
Ni  0.418  0.418  0.916
Ni  0.916  0.418  0.418
Ni  0.333  0.333  0.333
Ni  0.667  0.667  0.667
Ni  0.418  0.916  0.418
Ni  0.084  0.582  0.582
Ni  0.500  0.500  0.500
Ni  0.582  0.084  0.582
Pu  0.147  0.147  0.147
Pu  0.853  0.853  0.853
Tm  0.000  0.000  0.000

(9)
A plane-wave DFT calculation with PBE was carried out for a relaxed structure of PaTaTc.

Output
- energy of formation (eV per formula unit) = 2.53

a b c (Å): 4.477 4.477 4.477
angles (deg): 60.00 60.00 60.00
Positions (direct):
Pa  0.000  0.000  0.000
Ta  0.250  0.250  0.250
Tc  0.750  0.750  0.750

(10)
A plane-wave DFT calculation with PBE was carried out for a relaxed structure of YInAg2.

Output
- E (eV/atom) = -3.7952

a b c (Å): 5.112 5.112 8.189
angles (deg): 90.00 90.00 120.00
Positions (direct):
Y  0.000  0.000  0.250
Y  0.000  0.000  0.750
Ag  0.333  0.667  0.083
Ag  0.333  0.667  0.417
Ag  0.667  0.333  0.583
Ag  0.667  0.333  0.917
In  0.667  0.333  0.250
In  0.333  0.667  0.750

(11)
A plane-wave DFT calculation with PBE was carried out for a relaxed structure of TbYTe2F2.

Output
- E (eV/atom) = -6.0474

a b c (Å): 4.029 4.029 7.399
angles (deg): 90.00 90.00 90.00
Positions (direct):
Te  0.000  0.000  0.361
Te  0.500  0.500  0.638
Y  0.500  0.500  0.199
Tb  0.000  0.000  0.803
F  0.000  0.500  0.999
F  0.500  0.000  0.999

(12)
A plane-wave DFT calculation with PBE was carried out for a relaxed structure of YMgTaOs.

Output
- distance to the lowest polymorph of the same formula (eV per atom) = 0.000

a b c (Å): 4.766 4.766 4.766
angles (deg): 60.00 60.00 60.00
Positions (direct):
Mg  0.750  0.750  0.750
Os  0.250  0.250  0.250
Ta  0.500  0.500  0.500
Y  0.000  0.000  0.000